Record 1
Below is a relaxed ZrTeP2O crystal, with properties calculated at the PBE level.

Calculated values
Volume ... 19.85 Å³/atom
Offset from the most stable computed form ... 608 meV per atom
Magnetic moment ... 0.0 μB per formula unit
Formation energy (no corrections) ... 0.158 eV per atom
VASP energy ... -26.68 eV for the cell shown

Unit cell a=5.013 b=5.013 c=3.950 alpha=90.00 beta=90.00 gamma=90.00
Space group P4/mmm (No. 123)
Inequivalent atoms, fractional coordinates:
1 Zr 0.000 0.000 0.000 x1
2 Te 0.500 0.500 0.500 x1
3 P 0.000 0.500 0.500 x2
4 O 0.500 0.500 0.000 x1

Record 2
Below is a relaxed ZrTeP2O crystal, with properties calculated at the PBE level.

Calculated values
Volume ... 21.90 Å³/atom
Offset from the most stable computed form ... 0 meV per atom
Magnetic moment ... 0.0 μB per formula unit
Formation energy (no corrections) ... -0.449 eV per atom
VASP energy ... -29.72 eV for the cell shown

Unit cell a=5.251 b=5.251 c=3.971 alpha=90.00 beta=90.00 gamma=90.00
Space group P4/mmm (No. 123)
Inequivalent atoms, fractional coordinates:
1 Zr 0.000 0.000 0.000 x1
2 Te 0.500 0.500 0.500 x1
3 P 0.000 0.500 0.000 x2
4 O 0.000 0.000 0.500 x1

Record 3
Below is a relaxed ThPO5 crystal, with properties calculated at the PBE level.

Calculated values
Volume ... 18.32 Å³/atom
Offset from the most stable computed form ... 183 meV per atom
Magnetic moment ... 0.4 μB per formula unit
Formation energy (no corrections) ... -2.642 eV per atom
VASP energy ... -224.46 eV for the cell shown

Unit cell a=8.235 b=8.501 c=8.399 alpha=90.00 beta=119.26 gamma=90.00
Space group C2/c (No. 15)
Inequivalent atoms, fractional coordinates:
1 Th 0.250 0.250 0.000 x4
2 P 0.000 0.113 0.250 x4
3 O 0.000 0.312 0.750 x4
4 O 0.077 0.217 0.152 x8
5 O 0.157 0.006 0.391 x8